No. 1
VASP calculation (PBE) on a geometry-optimized Li6AlCu5 structure.

As for the formation energy: -0.06 eV/atom. The total energy comes out at -3.0363 eV per atom.

Lattice parameters (Å, degrees): 5.985 5.985 4.529 97.33 97.33 81.86
Fractional coordinates of all 12 atoms:
Li1 0.072 0.411 0.249
Li2 0.243 0.243 0.758
Li3 0.411 0.072 0.249
Li4 0.589 0.928 0.751
Li5 0.757 0.757 0.242
Li6 0.928 0.589 0.751
Al1 0.500 0.500 0.500
Cu1 0.000 0.000 0.000
Cu2 0.166 0.834 0.500
Cu3 0.332 0.668 0.000
Cu4 0.668 0.332 0.000
Cu5 0.834 0.166 0.500

***

No. 2
VASP calculation (PBE) on a geometry-optimized LiAlCu4 structure.

As for the formation energy: 0.14 eV/atom. The calculation puts the energy above the most stable polymorph in this dataset at 0.2218 eV/atom. The total energy comes out at -3.5323 eV per atom.

Lattice parameters (Å, degrees): 6.297 6.297 6.627 90.00 90.00 142.45
Fractional coordinates of all 12 atoms:
Li1 0.166 0.834 0.750
Li2 0.834 0.166 0.250
Al1 0.381 0.619 0.750
Al2 0.619 0.381 0.250
Cu1 0.000 0.000 0.000
Cu2 0.000 0.000 0.500
Cu3 0.220 0.780 0.077
Cu4 0.220 0.780 0.423
Cu5 0.422 0.578 0.250
Cu6 0.578 0.422 0.750
Cu7 0.780 0.220 0.577
Cu8 0.780 0.220 0.923

***

No. 3
VASP calculation (PBE) on a geometry-optimized LiAl2Cu12 structure.

As for the formation energy: 0.12 eV/atom. The total energy comes out at -3.7838 eV per atom.

Lattice parameters (Å, degrees): 4.718 4.718 18.863 90.00 90.00 90.00
Fractional coordinates of all 30 atoms:
Li1 0.250 0.750 0.000
Li2 0.750 0.250 0.000
Al1 0.250 0.750 0.284
Al2 0.250 0.750 0.716
Al3 0.750 0.250 0.284
Al4 0.750 0.250 0.716
Cu1 0.064 0.564 0.122
Cu2 0.064 0.936 0.878
Cu3 0.072 0.572 0.559
Cu4 0.072 0.928 0.441
Cu5 0.250 0.250 0.218
Cu6 0.250 0.250 0.345
Cu7 0.250 0.250 0.655
Cu8 0.250 0.250 0.782
Cu9 0.428 0.572 0.441
Cu10 0.428 0.928 0.559
Cu11 0.436 0.564 0.878
Cu12 0.436 0.936 0.122
Cu13 0.564 0.064 0.878
Cu14 0.564 0.436 0.122
Cu15 0.572 0.072 0.441
Cu16 0.572 0.428 0.559
Cu17 0.750 0.750 0.218
Cu18 0.750 0.750 0.345
Cu19 0.750 0.750 0.655
Cu20 0.750 0.750 0.782
Cu21 0.928 0.072 0.559
Cu22 0.928 0.428 0.441
Cu23 0.936 0.064 0.122
Cu24 0.936 0.436 0.878

***

No. 4
VASP calculation (PBE) on a geometry-optimized Li2Al3Cu2 structure.

As for the formation energy: -0.19 eV/atom. The calculation puts the energy above the most stable polymorph in this dataset at 0.0269 eV/atom. The total energy comes out at -3.5069 eV per atom.

Lattice parameters (Å, degrees): 4.935 4.935 6.490 110.88 110.88 49.06
Fractional coordinates of all 7 atoms:
Li1 0.150 0.150 0.277
Li2 0.850 0.850 0.723
Al1 0.365 0.365 0.053
Al2 0.500 0.500 0.500
Al3 0.635 0.635 0.947
Cu1 0.125 0.125 0.697
Cu2 0.875 0.875 0.303

***

No. 5
VASP calculation (PBE) on a geometry-optimized Li2AlCu2 structure.

As for the formation energy: -0.17 eV/atom. The calculation puts the energy above the most stable polymorph in this dataset at 0.0000 eV/atom. The total energy comes out at -3.3185 eV per atom.

Lattice parameters (Å, degrees): 5.066 5.066 7.081 105.12 105.12 49.54
Fractional coordinates of all 10 atoms:
Li1 0.056 0.558 0.851
Li2 0.442 0.944 0.649
Li3 0.558 0.056 0.351
Li4 0.944 0.442 0.149
Al1 0.249 0.751 0.250
Al2 0.751 0.249 0.750
Cu1 0.154 0.652 0.552
Cu2 0.348 0.846 0.948
Cu3 0.652 0.154 0.052
Cu4 0.846 0.348 0.448

***

No. 6
VASP calculation (PBE) on a geometry-optimized Li2AlCu structure.

As for the formation energy: -0.12 eV/atom. The total energy comes out at -3.0366 eV per atom.

Lattice parameters (Å, degrees): 3.676 3.676 4.213 90.00 90.00 90.00
Fractional coordinates of all 4 atoms:
Li1 0.000 0.500 0.000
Li2 0.500 0.000 0.000
Al1 0.000 0.000 0.500
Cu1 0.500 0.500 0.500

***

No. 7
VASP calculation (PBE) on a geometry-optimized Li2Al2Cu structure.

As for the formation energy: 0.07 eV/atom. The calculation puts the energy above the most stable polymorph in this dataset at 0.3178 eV/atom. The total energy comes out at -3.0086 eV per atom.

Lattice parameters (Å, degrees): 7.450 7.450 7.450 154.48 154.48 36.40
Fractional coordinates of all 5 atoms:
Li1 0.250 0.750 0.500
Li2 0.750 0.250 0.500
Al1 0.096 0.096 0.000
Al2 0.904 0.904 0.000
Cu1 0.500 0.500 0.000

***

No. 8
VASP calculation (PBE) on a geometry-optimized LiAlCu2 structure.

As for the formation energy: -0.19 eV/atom. The total energy comes out at -3.6488 eV per atom.

Lattice parameters (Å, degrees): 4.783 4.783 4.323 107.45 107.45 33.85
Fractional coordinates of all 4 atoms:
Li1 0.000 0.000 0.000
Al1 0.775 0.775 0.343
Cu1 0.247 0.247 0.826
Cu2 0.517 0.517 0.509